Record 1
! Ba2BeP (GGA-PBE, relaxed); values from VASP
&SYSTEM
  ibrav = 0, nat = 4, ntyp = 3
/
ATOMIC_SPECIES
P 30.97 P.upf
Be 9.01 Be.upf
Ba 137.33 Ba.upf
ATOMIC_POSITIONS crystal
P 0.500 0.500 0.500
Be 0.000 0.000 0.000
Ba 0.250 0.250 0.250
Ba 0.750 0.750 0.750
CELL_PARAMETERS angstrom
0.000 3.934 3.934
3.934 0.000 3.934
3.934 3.934 0.000
! DFT total energy = -13.25 eV/cell
! SG = Fm-3m (225)

***

Record 2
! Ca2OsRh2 (GGA-PBE, relaxed); values from VASP
&SYSTEM
  ibrav = 0, nat = 10, ntyp = 3
/
ATOMIC_SPECIES
Os 190.23 Os.upf
Rh 102.91 Rh.upf
Ca 40.08 Ca.upf
ATOMIC_POSITIONS crystal
Os 0.500 0.500 0.000
Os 0.000 0.000 0.000
Rh 0.859 0.641 0.000
Rh 0.141 0.359 0.000
Rh 0.359 0.859 0.000
Rh 0.641 0.141 0.000
Ca 0.179 0.679 0.500
Ca 0.321 0.179 0.500
Ca 0.679 0.821 0.500
Ca 0.821 0.321 0.500
CELL_PARAMETERS angstrom
-2.202 -6.020 1.443
4.169 -0.310 5.068
-3.252 1.858 2.789
! DFT total energy = -60.55 eV/cell
! SG = P4/mbm (127)

***

Record 3
! LiHgPd4 (GGA-PBE, relaxed); values from VASP
&SYSTEM
  ibrav = 0, nat = 6, ntyp = 3
/
ATOMIC_SPECIES
Hg 200.59 Hg.upf
Pd 106.42 Pd.upf
Li 6.94 Li.upf
ATOMIC_POSITIONS crystal
Hg 0.250 0.250 0.250
Pd 0.625 0.125 0.625
Pd 0.125 0.625 0.625
Pd 0.625 0.625 0.625
Pd 0.625 0.625 0.125
Li 0.000 0.000 0.000
CELL_PARAMETERS angstrom
-3.740 -3.244 1.869
-0.593 -4.830 -2.078
1.365 -4.274 2.806
! DFT total energy = -23.64 eV/cell
! SG = F-43m (216)

***

Record 4
! NaOs3Br (GGA-PBE, relaxed); values from VASP
&SYSTEM
  ibrav = 0, nat = 5, ntyp = 3
/
ATOMIC_SPECIES
Os 190.23 Os.upf
Na 22.99 Na.upf
Br 79.90 Br.upf
ATOMIC_POSITIONS crystal
Os 0.000 0.000 0.500
Os 0.500 0.000 0.000
Os 0.000 0.500 0.000
Na 0.000 0.000 0.000
Br 0.500 0.500 0.500
CELL_PARAMETERS angstrom
4.760 0.000 0.000
0.000 4.760 0.000
0.000 0.000 4.760
! DFT total energy = -19.52 eV/cell
! SG = Pm-3m (221)
! ΔE_f (raw) = 3.433 eV/atom

***

Record 5
! Er5Al4Ag (GGA-PBE, relaxed); values from VASP
&SYSTEM
  ibrav = 0, nat = 10, ntyp = 3
/
ATOMIC_SPECIES
Er 167.26 Er.upf
Al 26.98 Al.upf
Ag 107.87 Ag.upf
ATOMIC_POSITIONS crystal
Er 0.500 0.500 0.303
Er 0.500 0.500 0.103
Er 0.500 0.500 0.500
Er 0.500 0.500 0.897
Er 0.500 0.500 0.697
Al 0.000 0.000 0.402
Al 0.000 0.000 0.202
Al 0.000 0.000 0.798
Al 0.000 0.000 0.598
Ag 0.000 0.000 0.000
CELL_PARAMETERS angstrom
3.543 0.000 0.000
0.000 3.543 0.000
0.000 0.000 18.210
! DFT total energy = -44.43 eV/cell
! SG = P4/mmm (123)

***

Record 6
! PuTl3O6F2 (GGA-PBE, relaxed); values from VASP
&SYSTEM
  ibrav = 0, nat = 12, ntyp = 4
/
ATOMIC_SPECIES
O 16.00 O.upf
F 19.00 F.upf
Tl 204.38 Tl.upf
Pu 244.00 Pu.upf
ATOMIC_POSITIONS crystal
O 0.680 0.262 0.124
O 0.327 0.188 0.377
O 0.673 0.812 0.623
O 0.320 0.138 0.876
O 0.320 0.738 0.876
O 0.680 0.862 0.124
F 0.279 0.677 0.353
F 0.721 0.323 0.647
Tl 0.500 0.500 0.500
Tl 0.000 0.500 0.000
Tl 0.500 0.000 0.500
Pu 0.500 0.000 0.000
CELL_PARAMETERS angstrom
6.017 0.000 0.341
0.000 6.732 0.000
-0.303 -3.366 6.077
! DFT total energy = -72.86 eV/cell
! SG = C2/m (12)
! ΔE_f (raw) = -1.495 eV/atom

***

Record 7
! Y3TmBi4 (GGA-PBE, relaxed); values from VASP
&SYSTEM
  ibrav = 0, nat = 8, ntyp = 3
/
ATOMIC_SPECIES
Bi 208.98 Bi.upf
Tm 168.93 Tm.upf
Y 88.91 Y.upf
ATOMIC_POSITIONS crystal
Bi 0.500 0.249 0.751
Bi 0.000 0.753 0.753
Bi 0.000 0.247 0.247
Bi 0.500 0.751 0.249
Tm 0.500 0.000 0.000
Y 0.500 0.500 0.500
Y 0.000 0.000 0.500
Y 0.000 0.500 0.000
CELL_PARAMETERS angstrom
-0.129 4.362 -0.983
-0.971 -1.716 -7.486
-6.915 0.570 3.434
! DFT total energy = -46.33 eV/cell
! SG = Cmmm (65)

***

Record 8
! TbNdLuPb (GGA-PBE, relaxed); values from VASP
&SYSTEM
  ibrav = 0, nat = 4, ntyp = 4
/
ATOMIC_SPECIES
Pb 207.20 Pb.upf
Nd 144.24 Nd.upf
Lu 174.97 Lu.upf
Tb 158.93 Tb.upf
ATOMIC_POSITIONS crystal
Pb 0.750 0.750 0.750
Nd 0.500 0.500 0.500
Lu 0.250 0.250 0.250
Tb 0.000 0.000 0.000
CELL_PARAMETERS angstrom
-4.026 1.494 3.471
-3.367 -3.822 2.132
0.344 -1.306 5.354
! DFT total energy = -18.15 eV/cell
! SG = F-43m (216)

***

Record 9
! Sr2CuSnH (GGA-PBE, relaxed); values from VASP
&SYSTEM
  ibrav = 0, nat = 5, ntyp = 4
/
ATOMIC_SPECIES
Cu 63.55 Cu.upf
Sr 87.62 Sr.upf
Sn 118.71 Sn.upf
H 1.01 H.upf
ATOMIC_POSITIONS crystal
Cu 0.000 0.000 0.500
Sr 0.000 0.500 0.000
Sr 0.500 0.000 0.000
Sn 0.500 0.500 0.500
H 0.000 0.000 0.000
CELL_PARAMETERS angstrom
5.586 0.000 0.000
0.000 5.586 0.000
0.000 0.000 3.849
! DFT total energy = -16.49 eV/cell
! SG = P4/mmm (123)

***

Record 10
! K3TiMn2Se6 (GGA-PBE, relaxed); values from VASP
&SYSTEM
  ibrav = 0, nat = 12, ntyp = 4
/
ATOMIC_SPECIES
K 39.10 K.upf
Se 78.96 Se.upf
Ti 47.87 Ti.upf
Mn 54.94 Mn.upf
ATOMIC_POSITIONS crystal
K 0.500 0.500 0.500
K 0.169 0.831 0.500
K 0.831 0.169 0.500
Se 0.393 0.065 0.183
Se 0.607 0.935 0.817
Se 0.738 0.738 0.187
Se 0.935 0.607 0.817
Se 0.262 0.262 0.813
Se 0.065 0.393 0.183
Ti 0.000 0.000 0.000
Mn 0.335 0.665 0.000
Mn 0.665 0.335 0.000
CELL_PARAMETERS angstrom
6.810 -0.057 0.005
-3.453 5.870 0.005
-1.111 -1.924 7.523
! DFT total energy = -61.21 eV/cell
! SG = C2/m (12)
! ΔE_f (raw) = -0.898 eV/atom

***

Record 11
! LiEuBi (GGA-PBE, relaxed); values from VASP
&SYSTEM
  ibrav = 0, nat = 3, ntyp = 3
/
ATOMIC_SPECIES
Eu 151.96 Eu.upf
Bi 208.98 Bi.upf
Li 6.94 Li.upf
ATOMIC_POSITIONS crystal
Eu 0.000 0.000 0.000
Bi 0.250 0.250 0.250
Li 0.500 0.500 0.500
CELL_PARAMETERS angstrom
-2.333 -4.135 -2.258
1.051 -1.199 -5.009
2.802 -4.300 -1.141
! DFT total energy = -18.01 eV/cell
! SG = F-43m (216)

***

Record 12
! Ni4Ag (GGA-PBE, relaxed); values from VASP
&SYSTEM
  ibrav = 0, nat = 5, ntyp = 2
/
ATOMIC_SPECIES
Ni 58.69 Ni.upf
Ag 107.87 Ag.upf
ATOMIC_POSITIONS crystal
Ni 0.189 0.594 0.783
Ni 0.594 0.811 0.405
Ni 0.811 0.406 0.217
Ni 0.406 0.189 0.595
Ag 0.000 0.000 0.000
CELL_PARAMETERS angstrom
-2.278 -1.391 3.617
-0.833 3.180 -3.067
-0.437 -3.649 -2.590
! DFT total energy = -24.98 eV/cell
! SG = I4/m (87)